# 1
5
Lattice="-2.125 -2.093 3.288 0.711 -2.077 -3.859 9.541 -3.754 3.778" Properties=species:S:1:pos:R:3 comment="SmCdSbI2, optimized geometry, DFT PBE" total_energy_ev_per_atom=-3.336 pbc="T T T"
Cd 1.470 -0.578 0.582
I 1.845 -3.278 2.104
I 6.398 -2.518 2.533
Sb -0.165 -2.109 -1.449
Sm 6.940 -5.283 4.121


# 2
8
Lattice="4.181 0.000 0.000 0.000 5.423 0.000 0.000 0.000 7.056" Properties=species:S:1:pos:R:3 comment="YHoNi2, optimized geometry, DFT PBE" total_energy_ev_per_atom=-6.004 e_form_ev_per_atom=-0.460 pbc="T T T"
Ho 0.000 3.362 2.260
Ho 0.000 2.062 5.788
Ni 2.090 3.391 0.268
Ni 0.000 0.681 3.260
Ni 2.090 2.032 3.796
Ni 0.000 4.742 6.788
Y 2.090 0.651 1.268
Y 2.090 4.773 4.796


# 3
12
Lattice="-6.020 -3.259 -3.289 4.660 0.517 5.975 -6.305 7.323 4.283" Properties=species:S:1:pos:R:3 comment="NaHfAgTe2Se, optimized geometry, DFT PBE" total_energy_ev_per_atom=-4.701 pbc="T T T"
Ag -2.713 0.298 2.017
Ag -4.952 4.283 4.952
Hf 0.000 0.000 0.000
Hf -3.153 3.662 2.142
Na 0.394 1.397 4.713
Na -8.059 3.184 2.256
Se -6.839 -1.161 -1.562
Se -0.826 5.742 8.531
Te -2.401 -1.667 0.169
Te -5.141 1.516 2.031
Te -2.524 3.066 4.938
Te -5.265 6.249 6.800


# 4
8
Lattice="-2.744 3.093 0.977 -0.642 -2.399 -3.447 -7.971 -9.663 8.210" Properties=species:S:1:pos:R:3 comment="LaPr3As2Br2, optimized geometry, DFT PBE" total_energy_ev_per_atom=-5.456 pbc="T T T"
As -5.334 -5.406 2.138
As -9.297 -10.210 6.220
Br -4.056 -1.177 1.575
Br -5.970 -7.236 6.149
La -0.849 -1.029 0.875
Pr -3.154 -3.823 3.248
Pr -6.869 -4.587 4.472
Pr -9.158 -7.362 6.830


# 5
12
Lattice="-0.563 7.623 4.169 3.944 5.772 5.190 3.125 8.082 0.857" Properties=species:S:1:pos:R:3 comment="Dy2HoFe7Ni2, optimized geometry, DFT PBE" total_energy_ev_per_atom=-7.053 e_form_ev_per_atom=-0.130 pbc="T T T"
Dy 0.921 3.041 1.446
Dy 5.584 18.437 8.770
Fe 2.225 8.460 5.514
Fe 2.441 12.789 6.354
Fe 4.689 11.866 6.863
Fe 3.253 10.739 5.108
Fe 1.816 9.612 3.353
Fe 4.064 8.688 3.862
Fe 4.281 13.018 4.702
Ho 0.000 0.000 0.000
Ni 2.163 7.142 3.397
Ni 4.342 14.336 6.819


# 6
9
Lattice="-3.627 1.081 -0.058 0.767 2.958 7.186 1.438 4.493 -6.223" Properties=species:S:1:pos:R:3 comment="Y2HoNiPt2Pb3, optimized geometry, DFT PBE" total_energy_ev_per_atom=-5.900 pbc="T T T"
Ho 1.316 4.446 0.575
Ni 2.203 7.445 0.962
Pb -1.251 2.441 0.217
Pb 0.024 6.844 2.522
Pb 0.196 7.235 -0.899
Pt -0.820 4.019 2.672
Pt -0.598 4.526 -1.765
Y 0.309 1.191 2.892
Y 0.579 1.808 -2.505


# 7
32
Lattice="-3.044 -2.620 -5.552 -2.734 -4.224 5.923 -3.527 7.812 -0.556" Properties=species:S:1:pos:R:3 comment="Cu7Ag, optimized geometry, DFT PBE" total_energy_ev_per_atom=-3.551 e_form_ev_per_atom=0.054 polymorph_energy_mev_per_atom=11.7 pbc="T T T"
Ag -2.469 -2.682 2.564
Ag -5.107 -4.464 -0.413
Ag -3.804 -0.494 3.506
Ag -3.542 0.964 0.265
Cu -2.618 -1.825 -3.124
Cu -2.224 -1.120 -0.681
Cu -1.768 -0.254 1.759
Cu -4.811 -3.709 2.034
Cu -4.466 -2.057 -1.377
Cu -1.678 1.240 -1.513
Cu -4.225 -1.437 1.029
Cu -4.309 -0.510 -4.593
Cu -3.933 0.232 -2.229
Cu -6.475 -2.357 0.494
Cu -3.357 2.567 -3.042
Cu -6.154 -0.745 -2.844
Cu -5.846 -0.083 -0.433
Cu -2.933 3.400 -0.593
Cu -5.584 1.549 -3.727
Cu -5.493 0.742 2.012
Cu -5.202 2.316 -1.313
Cu -5.045 1.570 4.470
Cu -4.762 3.065 1.152
Cu -4.938 3.909 -4.583
Cu -7.385 1.208 -1.933
Cu -4.512 4.658 -2.151
Cu -4.090 5.458 0.257
Cu -6.988 2.013 0.526
Cu -6.721 3.649 -2.848
Cu -6.658 2.768 2.958
Cu -6.330 4.384 -0.442
Cu -3.529 7.790 -0.541


# 8
10
Lattice="4.006 -6.780 0.000 4.006 6.780 0.000 -1.180 0.000 9.721" Properties=species:S:1:pos:R:3 comment="GdI4, optimized geometry, DFT PBE" total_energy_ev_per_atom=-3.261 pbc="T T T"
Gd 4.006 -4.426 0.000
Gd 4.006 4.426 0.000
I 7.119 0.000 1.804
I 2.448 -2.567 1.840
I 2.448 2.567 1.840
I 4.619 0.000 4.209
I 2.213 0.000 5.512
I 4.383 -2.567 7.881
I 4.383 2.567 7.881
I -0.288 0.000 7.917


# 9
8
Lattice="3.750 0.000 0.000 0.000 6.865 0.000 0.000 0.000 6.497" Properties=species:S:1:pos:R:3 comment="ReHgAsO, optimized geometry, DFT PBE" total_energy_ev_per_atom=-5.583 polymorph_energy_mev_per_atom=304.3 pbc="T T T"
As 0.000 6.128 2.049
As 0.000 0.737 5.298
Hg 1.875 2.473 0.139
Hg 1.875 4.392 3.387
O 1.875 1.560 2.953
O 1.875 5.305 6.201
Re 0.000 1.460 3.006
Re 0.000 5.405 6.254


# 10
24
Lattice="11.230 0.000 0.000 0.000 4.327 0.000 0.000 0.000 14.637" Properties=species:S:1:pos:R:3 comment="LuAgTe3Pb, optimized geometry, DFT PBE" total_energy_ev_per_atom=-4.095 polymorph_energy_mev_per_atom=16.1 pbc="T T T"
Ag 8.325 1.082 3.208
Ag 2.711 1.082 4.110
Ag 8.519 3.245 10.527
Ag 2.904 3.245 11.429
Lu 11.025 3.245 3.585
Lu 5.410 3.245 3.733
Lu 5.819 1.082 10.904
Lu 0.205 1.082 11.052
Pb 8.174 3.245 0.266
Pb 2.559 3.245 7.053
Pb 8.670 1.082 7.585
Pb 3.055 1.082 14.371
Te 10.495 1.082 1.495
Te 5.996 1.082 1.620
Te 2.632 3.245 2.301
Te 8.247 3.245 5.018
Te 0.381 1.082 5.699
Te 4.880 1.082 5.824
Te 6.350 3.245 8.813
Te 10.849 3.245 8.938
Te 2.983 1.082 9.619
Te 8.598 1.082 12.337
Te 5.234 3.245 13.018
Te 0.735 3.245 13.143